RePb3: relaxed, PBE.

formation energy from the elements = 0.743 eV/atom
size of the total moment = 0.0 μB/f.u.
ΔE to the lowest computed polymorph = 31.3 kJ/mol of atoms
theoretical density = 11.750 g cm⁻³

Cell: 6.453 14.607 4.844 Å, 90.00 90.00 90.00°
Space group Cmcm (No. 63)
Asymmetric unit:
Re: 0.000 0.018 0.250 x4
Pb: 0.000 0.432 0.250 x4
Pb: 0.249 0.176 0.250 x8